LaHfAg2 | PBE | optimized geometry

abc: 3.444 3.444 7.859
angles: 90.00 90.00 90.00
Fractional positions:
Hf 0.500 0.500 0.000
Ag 0.000 0.000 0.207
La 0.500 0.500 0.500
Ag 0.000 0.000 0.793

***

PmSm2Sb | PBE | optimized geometry

Properties
E_form (uncorrected) ... -361.9 meV per atom

abc: 4.090 4.090 9.954
angles: 78.14 78.14 60.00
Fractional positions:
Sm 0.266 0.266 0.202
Sm 0.067 0.067 0.798
Pm 0.500 0.500 0.499
Sb 0.666 0.666 0.001

***

KSiAsSe2 | PBE | optimized geometry

Properties
E_form (uncorrected) ... 1467.0 meV per atom

abc: 5.555 5.555 5.332
angles: 90.00 90.00 90.00
Fractional positions:
Se 0.500 0.000 0.000
K 0.000 0.000 0.000
As 0.000 0.000 0.500
Si 0.500 0.500 0.500
Se 0.000 0.500 0.000

***

Values of energy above the lowest structure with this stoichiometry, in order: 0 213 1540, all in meV/atom.